Record 1
# Tb3NdY6Er2 | Alexandria | PBE | optimized geometry
data_Tb3NdY6Er2
_chemical_formula_sum 'Tb6 Nd2 Y12 Er4'
_cell_length_a 6.1789
_cell_length_b 10.6919
_cell_length_c 11.8233
_cell_angle_alpha 90.00
_cell_angle_beta 99.97
_cell_angle_gamma 90.00
_symmetry_space_group_name_H-M 'C 1 2/m 1'
_symmetry_Int_Tables_number 12
loop_
_symmetry_equiv_pos_as_xyz
'x,y,z'
'-x,-y,-z'
'-x,y,-z'
'x,-y,z'
'x+1/2,y+1/2,z'
'-x+1/2,-y+1/2,-z'
'-x+1/2,y+1/2,-z'
'x+1/2,-y+1/2,z'
loop_
_atom_site_label
_atom_site_type_symbol
_atom_site_fract_x
_atom_site_fract_y
_atom_site_fract_z
_atom_site_occupancy
Tb1 Tb 0.0000 0.0000 0.0000 1
Tb2 Tb 0.0000 0.3330 0.0000 1
Nd1 Nd 0.0000 0.5000 0.5000 1
Y1 Y 0.2489 0.1670 0.2497 1
Y2 Y 0.2498 0.0000 0.7502 1
Er1 Er 0.0000 0.1666 0.5000 1
# Total DFT energy (no corrections) ... -5.528 eV/atom
# ΔE_f ... 0.2 eV/f.u.
# ρ ... 6.4 g/cm³
# Total magnetic moment ... 0.00 μB/cell

Record 2
# Tb2Nd2YEr | Alexandria | PBE | optimized geometry
data_Tb2Nd2YEr
_chemical_formula_sum 'Tb4 Nd4 Y2 Er2'
_cell_length_a 6.6055
_cell_length_b 7.0513
_cell_length_c 8.8560
_cell_angle_alpha 90.00
_cell_angle_beta 103.63
_cell_angle_gamma 90.00
_symmetry_space_group_name_H-M 'P 1 21/m 1'
_symmetry_Int_Tables_number 11
loop_
_symmetry_equiv_pos_as_xyz
'x,y,z'
'-x,-y,-z'
'-x,y+1/2,-z'
'x,-y+1/2,z'
loop_
_atom_site_label
_atom_site_type_symbol
_atom_site_fract_x
_atom_site_fract_y
_atom_site_fract_z
_atom_site_occupancy
Tb1 Tb 0.0958 0.0007 0.3184 1
Nd1 Nd 0.2398 0.7500 0.0089 1
Nd2 Nd 0.3774 0.2500 0.6529 1
Y1 Y 0.2530 0.2500 0.0112 1
Er1 Er 0.3809 0.7500 0.6505 1
# Total DFT energy (no corrections) ... -4.845 eV/atom
# ΔE_f ... 0.8 eV/f.u.
# ρ ... 7.1 g/cm³
# Total magnetic moment ... 0.00 μB/cell

Record 3
# Tb2Nd2Y4Er | Alexandria | PBE | optimized geometry
data_Tb2Nd2Y4Er
_chemical_formula_sum 'Tb4 Nd4 Y8 Er2'
_cell_length_a 18.7711
_cell_length_b 3.6196
_cell_length_c 9.6131
_cell_angle_alpha 90.00
_cell_angle_beta 115.70
_cell_angle_gamma 90.00
_symmetry_space_group_name_H-M 'C 1 2/m 1'
_symmetry_Int_Tables_number 12
loop_
_symmetry_equiv_pos_as_xyz
'x,y,z'
'-x,-y,-z'
'-x,y,-z'
'x,-y,z'
'x+1/2,y+1/2,z'
'-x+1/2,-y+1/2,-z'
'-x+1/2,y+1/2,-z'
'x+1/2,-y+1/2,z'
loop_
_atom_site_label
_atom_site_type_symbol
_atom_site_fract_x
_atom_site_fract_y
_atom_site_fract_z
_atom_site_occupancy
Tb1 Tb 0.1476 0.0000 0.1638 1
Nd1 Nd 0.1651 0.5000 0.4977 1
Y1 Y 0.0193 0.5000 0.8344 1
Y2 Y 0.1854 0.0000 0.8347 1
Er1 Er 0.0000 0.0000 0.5000 1
# Total DFT energy (no corrections) ... -5.471 eV/atom
# ΔE_f ... 0.0 eV/f.u.
# ρ ... 6.4 g/cm³
# Total magnetic moment ... 0.00 μB/cell

Record 4
# Tb6Nd2YEr | Alexandria | PBE | optimized geometry
data_Tb6Nd2YEr
_chemical_formula_sum 'Tb24 Nd8 Y4 Er4'
_cell_length_a 9.0472
_cell_length_b 15.1684
_cell_length_c 9.7009
_cell_angle_alpha 90.00
_cell_angle_beta 98.57
_cell_angle_gamma 90.00
_symmetry_space_group_name_H-M 'C 1 2/c 1'
_symmetry_Int_Tables_number 15
loop_
_symmetry_equiv_pos_as_xyz
'x,y,z'
'-x,-y,-z'
'-x,y,-z+1/2'
'x,-y,z+1/2'
'x+1/2,y+1/2,z'
'-x+1/2,-y+1/2,-z'
'-x+1/2,y+1/2,-z+1/2'
'x+1/2,-y+1/2,z+1/2'
loop_
_atom_site_label
_atom_site_type_symbol
_atom_site_fract_x
_atom_site_fract_y
_atom_site_fract_z
_atom_site_occupancy
Tb1 Tb 0.0631 0.1898 0.4435 1
Tb2 Tb 0.1042 0.3948 0.6194 1
Tb3 Tb 0.2024 0.2230 0.8120 1
Nd1 Nd 0.2481 0.0531 0.0422 1
Y1 Y 0.0000 0.0186 0.7500 1
Er1 Er 0.0000 0.4076 0.2500 1
# Total DFT energy (no corrections) ... -4.721 eV/atom
# ΔE_f ... 1.1 eV/f.u.
# ρ ... 7.6 g/cm³
# Total magnetic moment ... 0.00 μB/cell

Record 5
# TbNdY5Er2 | Alexandria | PBE | optimized geometry
data_TbNdY5Er2
_chemical_formula_sum 'Tb4 Nd4 Y20 Er8'
_cell_length_a 5.6286
_cell_length_b 20.0056
_cell_length_c 10.5288
_cell_angle_alpha 90.00
_cell_angle_beta 90.00
_cell_angle_gamma 90.00
_symmetry_space_group_name_H-M 'C m c 21'
_symmetry_Int_Tables_number 36
loop_
_symmetry_equiv_pos_as_xyz
'x,y,z'
'-x,-y,z+1/2'
'-x,y,z'
'x,-y,z+1/2'
'x+1/2,y+1/2,z'
'-x+1/2,-y+1/2,z+1/2'
'-x+1/2,y+1/2,z'
'x+1/2,-y+1/2,z+1/2'
loop_
_atom_site_label
_atom_site_type_symbol
_atom_site_fract_x
_atom_site_fract_y
_atom_site_fract_z
_atom_site_occupancy
Tb1 Tb 0.0000 0.1971 0.0000 1
Nd1 Nd 0.0000 0.4153 0.4340 1
Y1 Y 0.0000 0.0170 0.0088 1
Y2 Y 0.0000 0.2789 0.3045 1
Y3 Y 0.0000 0.2986 0.6938 1
Y4 Y 0.0000 0.3849 0.0097 1
Y5 Y 0.0000 0.4782 0.7223 1
Er1 Er 0.0000 0.1115 0.7213 1
Er2 Er 0.0000 0.1127 0.3047 1
# Total DFT energy (no corrections) ... -5.489 eV/atom
# ΔE_f ... 1.4 eV/f.u.
# ρ ... 6.1 g/cm³
# Total magnetic moment ... 0.00 μB/cell

Record 6
# Tb2NdYEr2 | Alexandria | PBE | optimized geometry
data_Tb2NdYEr2
_chemical_formula_sum 'Tb4 Nd2 Y2 Er4'
_cell_length_a 6.5409
_cell_length_b 17.8028
_cell_length_c 3.4083
_cell_angle_alpha 90.00
_cell_angle_beta 90.00
_cell_angle_gamma 90.00
_symmetry_space_group_name_H-M 'P n n m'
_symmetry_Int_Tables_number 58
loop_
_symmetry_equiv_pos_as_xyz
'x,y,z'
'-x,-y,-z'
'-x,-y,z'
'x,y,-z'
'x+1/2,-y+1/2,-z+1/2'
'-x+1/2,y+1/2,z+1/2'
'-x+1/2,y+1/2,-z+1/2'
'x+1/2,-y+1/2,z+1/2'
loop_
_atom_site_label
_atom_site_type_symbol
_atom_site_fract_x
_atom_site_fract_y
_atom_site_fract_z
_atom_site_occupancy
Tb1 Tb 0.2261 0.1862 0.0000 1
Nd1 Nd 0.0000 0.0000 0.0000 1
Y1 Y 0.0000 0.5000 0.0000 1
Er1 Er 0.2235 0.3516 0.5000 1
# Total DFT energy (no corrections) ... -4.661 eV/atom
# ΔE_f ... 1.7 eV/f.u.
# ρ ... 7.4 g/cm³
# Total magnetic moment ... 0.00 μB/cell

Record 7
# Tb6NdYEr2 | Alexandria | PBE | optimized geometry
data_Tb6NdYEr2
_chemical_formula_sum 'Tb24 Nd4 Y4 Er8'
_cell_length_a 9.0774
_cell_length_b 15.0759
_cell_length_c 9.6145
_cell_angle_alpha 90.00
_cell_angle_beta 97.72
_cell_angle_gamma 90.00
_symmetry_space_group_name_H-M 'C 1 2/c 1'
_symmetry_Int_Tables_number 15
loop_
_symmetry_equiv_pos_as_xyz
'x,y,z'
'-x,-y,-z'
'-x,y,-z+1/2'
'x,-y,z+1/2'
'x+1/2,y+1/2,z'
'-x+1/2,-y+1/2,-z'
'-x+1/2,y+1/2,-z+1/2'
'x+1/2,-y+1/2,z+1/2'
loop_
_atom_site_label
_atom_site_type_symbol
_atom_site_fract_x
_atom_site_fract_y
_atom_site_fract_z
_atom_site_occupancy
Tb1 Tb 0.0637 0.1843 0.4447 1
Tb2 Tb 0.1028 0.3944 0.6210 1
Tb3 Tb 0.2022 0.2268 0.8173 1
Nd1 Nd 0.0000 0.4067 0.2500 1
Y1 Y 0.0000 0.0246 0.7500 1
Er1 Er 0.2462 0.0529 0.0439 1
# Total DFT energy (no corrections) ... -4.693 eV/atom
# ΔE_f ... 1.2 eV/f.u.
# ρ ... 7.7 g/cm³
# Total magnetic moment ... 0.00 μB/cell

Record 8
# TbNdYEr | Alexandria | PBE | optimized geometry
data_TbNdYEr
_chemical_formula_sum 'Tb3 Nd3 Y3 Er3'
_cell_length_a 3.5992
_cell_length_b 3.5992
_cell_length_c 34.8085
_cell_angle_alpha 90.00
_cell_angle_beta 90.00
_cell_angle_gamma 120.00
_symmetry_space_group_name_H-M 'R 3 m'
_symmetry_Int_Tables_number 160
_symmetry_space_group_name_Hall 'R 3 -2"'
loop_
_atom_site_label
_atom_site_type_symbol
_atom_site_fract_x
_atom_site_fract_y
_atom_site_fract_z
_atom_site_occupancy
Tb1 Tb 0.0000 0.0000 0.0000 1
Nd1 Nd 0.0000 0.0000 0.7512 1
Y1 Y 0.0000 0.0000 0.1702 1
Er1 Er 0.0000 0.0000 0.5854 1
# Total DFT energy (no corrections) ... -5.086 eV/atom
# ΔE_f ... 0.1 eV/f.u.
# ρ ... 7.1 g/cm³
# Total magnetic moment ... 0.00 μB/cell

Record 9
# TbNd3Y6Er2 | Alexandria | PBE | optimized geometry
data_TbNd3Y6Er2
_chemical_formula_sum 'Tb2 Nd6 Y12 Er4'
_cell_length_a 6.2211
_cell_length_b 10.7692
_cell_length_c 11.8593
_cell_angle_alpha 90.00
_cell_angle_beta 100.03
_cell_angle_gamma 90.00
_symmetry_space_group_name_H-M 'C 1 2/m 1'
_symmetry_Int_Tables_number 12
loop_
_symmetry_equiv_pos_as_xyz
'x,y,z'
'-x,-y,-z'
'-x,y,-z'
'x,-y,z'
'x+1/2,y+1/2,z'
'-x+1/2,-y+1/2,-z'
'-x+1/2,y+1/2,-z'
'x+1/2,-y+1/2,z'
loop_
_atom_site_label
_atom_site_type_symbol
_atom_site_fract_x
_atom_site_fract_y
_atom_site_fract_z
_atom_site_occupancy
Tb1 Tb 0.0000 0.0000 0.0000 1
Nd1 Nd 0.0000 0.1669 0.5000 1
Nd2 Nd 0.0000 0.5000 0.5000 1
Y1 Y 0.2491 0.1668 0.2462 1
Y2 Y 0.2487 0.5000 0.2463 1
Er1 Er 0.0000 0.3333 0.0000 1
# Total DFT energy (no corrections) ... -5.551 eV/atom
# ΔE_f ... 0.2 eV/f.u.
# ρ ... 6.2 g/cm³
# Total magnetic moment ... 0.00 μB/cell

Record 10
# TbNd2Y4Er2 | Alexandria | PBE | optimized geometry
data_TbNd2Y4Er2
_chemical_formula_sum 'Tb1 Nd2 Y4 Er2'
_cell_length_a 5.9993
_cell_length_b 6.6333
_cell_length_c 8.6580
_cell_angle_alpha 80.58
_cell_angle_beta 70.61
_cell_angle_gamma 65.16
_symmetry_space_group_name_H-M 'P -1'
_symmetry_Int_Tables_number 2
loop_
_symmetry_equiv_pos_as_xyz
'x,y,z'
'-x,-y,-z'
loop_
_atom_site_label
_atom_site_type_symbol
_atom_site_fract_x
_atom_site_fract_y
_atom_site_fract_z
_atom_site_occupancy
Tb1 Tb 0.0000 0.0000 0.0000 1
Nd1 Nd 0.2707 0.6801 0.6558 1
Y1 Y 0.2555 0.4237 0.1146 1
Y2 Y 0.3855 0.8704 0.2398 1
Er1 Er 0.1779 0.2334 0.5540 1
# Total DFT energy (no corrections) ... -5.379 eV/atom
# ΔE_f ... 0.7 eV/f.u.
# ρ ... 6.4 g/cm³
# Total magnetic moment ... 0.00 μB/cell

Record 11
# Tb5NdY2Er | Alexandria | PBE | optimized geometry
data_Tb5NdY2Er
_chemical_formula_sum 'Tb20 Nd4 Y8 Er4'
_cell_length_a 5.6435
_cell_length_b 19.8621
_cell_length_c 10.5861
_cell_angle_alpha 90.00
_cell_angle_beta 90.00
_cell_angle_gamma 90.00
_symmetry_space_group_name_H-M 'C m c 21'
_symmetry_Int_Tables_number 36
loop_
_symmetry_equiv_pos_as_xyz
'x,y,z'
'-x,-y,z+1/2'
'-x,y,z'
'x,-y,z+1/2'
'x+1/2,y+1/2,z'
'-x+1/2,-y+1/2,z+1/2'
'-x+1/2,y+1/2,z'
'x+1/2,-y+1/2,z+1/2'
loop_
_atom_site_label
_atom_site_type_symbol
_atom_site_fract_x
_atom_site_fract_y
_atom_site_fract_z
_atom_site_occupancy
Tb1 Tb 0.0000 0.0190 0.0000 1
Tb2 Tb 0.0000 0.2820 0.2886 1
Tb3 Tb 0.0000 0.2981 0.6839 1
Tb4 Tb 0.0000 0.3879 0.9985 1
Tb5 Tb 0.0000 0.4793 0.7147 1
Nd1 Nd 0.0000 0.4155 0.4306 1
Y1 Y 0.0000 0.1113 0.7103 1
Y2 Y 0.0000 0.1141 0.2957 1
Er1 Er 0.0000 0.2006 0.9877 1
# Total DFT energy (no corrections) ... -4.892 eV/atom
# ΔE_f ... 1.4 eV/f.u.
# ρ ... 7.2 g/cm³
# Total magnetic moment ... 0.00 μB/cell

Record 12
# Tb2NdYEr | Alexandria | PBE | optimized geometry
data_Tb2NdYEr
_chemical_formula_sum 'Tb8 Nd4 Y4 Er4'
_cell_length_a 8.4190
_cell_length_b 11.5158
_cell_length_c 7.2242
_cell_angle_alpha 90.00
_cell_angle_beta 90.00
_cell_angle_gamma 90.00
_symmetry_space_group_name_H-M 'C m c m'
_symmetry_Int_Tables_number 63
_symmetry_space_group_name_Hall '-C 2c 2'
loop_
_atom_site_label
_atom_site_type_symbol
_atom_site_fract_x
_atom_site_fract_y
_atom_site_fract_z
_atom_site_occupancy
Tb1 Tb 0.1895 0.0000 0.0000 1
Nd1 Nd 0.0000 0.2257 0.2500 1
Y1 Y 0.0000 0.4966 0.2500 1
Er1 Er 0.0000 0.2240 0.7500 1
# Total DFT energy (no corrections) ... -4.612 eV/atom
# ΔE_f ... 2.0 eV/f.u.
# ρ ... 6.8 g/cm³
# Total magnetic moment ... 0.00 μB/cell

total magnetic moment of number 11 (Tb5NdY2Er)?
0.00 μB/cell

The highest total DFT energy (no corrections) belongs to which entry?
Tb2NdYEr